# 1
Below is a PBEsol-optimized structure of Pr4CdIr, with properties calculated at the SCAN level.

Geometry as extended XYZ:
```
24
Lattice="0.000 6.967 6.967 6.967 0.000 6.967 6.967 6.967 0.000" Properties=species:S:1:pos:R:3 pbc="T T T"
Pr 6.967 6.967 2.644
Pr 6.967 2.644 6.967
Pr 11.290 6.967 6.967
Pr 5.589 5.589 5.589
Pr 8.345 8.345 5.589
Pr 8.345 5.589 8.345
Pr 10.450 10.450 7.784
Pr 10.450 7.784 10.450
Pr 13.117 10.450 10.450
Pr 5.589 8.345 8.345
Pr 2.644 6.967 6.967
Pr 6.967 11.290 6.967
Pr 6.967 6.967 11.290
Pr 7.784 10.450 10.450
Pr 10.450 13.117 10.450
Pr 10.450 10.450 13.117
Cd 2.382 2.382 2.382
Cd 4.585 4.585 2.382
Cd 4.585 2.382 4.585
Cd 2.382 4.585 4.585
Ir 8.475 5.459 5.459
Ir 5.459 8.475 5.459
Ir 5.459 5.459 8.475
Ir 8.475 8.475 8.475
```

Values from the calculation:
The total magnetization comes out at 0.0 μB/f.u. Its calculated total energy is -46.348 eV per atom. The formation energy is -0.5454 eV per atom. The calculated density comes out at 8.53 g/cm³. The value obtained for the density of states at the Fermi level is 14.53 states/eV per cell.

---

# 2
Below is a PBEsol-optimized structure of ZrGe2SbSe, with properties calculated at the SCAN level.

Geometry as extended XYZ:
```
5
Lattice="5.139 0.000 0.000 0.000 5.139 0.000 0.000 0.000 5.420" Properties=species:S:1:pos:R:3 pbc="T T T"
Zr 0.000 0.000 0.000
Ge 0.000 2.570 2.710
Ge 2.570 0.000 2.710
Sb 0.000 0.000 2.710
Se 2.570 2.570 0.000
```

Values from the calculation:
The total magnetization comes out at 0.0 μB/f.u. The uncorrected formation energy comes out at 0.89 eV/atom. Its calculated total energy is -24.356 eV per atom. As for the energy relative to the lowest polymorph listed for this composition: 0.5021 eV per atom. The calculated density comes out at 5.07 g/cm³. The value obtained for the density of states at the Fermi level is 4.27 states/eV per cell.

---

# 3
Below is a PBEsol-optimized structure of Sr2BiAu2, with properties calculated at the SCAN level.

Geometry as extended XYZ:
```
10
Lattice="5.911 0.000 0.000 0.000 5.911 0.000 0.000 0.000 8.688" Properties=species:S:1:pos:R:3 pbc="T T T"
Sr 0.000 2.955 2.172
Sr 0.000 2.955 6.516
Sr 2.955 0.000 2.172
Sr 2.955 0.000 6.516
Bi 0.000 0.000 0.000
Bi 2.955 2.955 4.344
Au 0.000 0.000 3.043
Au 0.000 0.000 5.645
Au 2.955 2.955 1.301
Au 2.955 2.955 7.387
```

Values from the calculation:
The total magnetization comes out at 0.0 μB/f.u. Its calculated total energy is -53.084 eV per atom. As for the energy relative to the lowest polymorph listed for this composition: 0.1071 eV per atom. The formation energy is -0.7948 eV per atom. The calculated density comes out at 8.51 g/cm³. The value obtained for the density of states at the Fermi level is 1.94 states/eV per cell.

---

# 4
Below is a PBEsol-optimized structure of IrRuRh, with properties calculated at the SCAN level.

Geometry as extended XYZ:
```
3
Lattice="2.677 0.000 0.000 -1.338 2.318 0.000 0.000 0.000 6.572" Properties=species:S:1:pos:R:3 pbc="T T T"
Ir 0.000 0.000 0.000
Ru 1.338 0.773 2.156
Rh 0.000 1.545 4.319
```

Values from the calculation:
The total magnetization comes out at 0.0 μB/f.u. Its calculated total energy is -46.581 eV per atom. As for the energy relative to the lowest polymorph listed for this composition: 0.0266 eV per atom. The formation energy is -0.0153 eV per atom. The calculated density comes out at 16.13 g/cm³. The value obtained for the density of states at the Fermi level is 2.70 states/eV per cell.

---

# 5
Below is a PBEsol-optimized structure of Te2WBr, with properties calculated at the SCAN level.

Geometry as extended XYZ:
```
8
Lattice="3.330 0.000 0.000 0.000 4.845 0.000 0.000 0.000 12.774" Properties=species:S:1:pos:R:3 pbc="T T T"
Te 0.000 0.000 0.000
Te 0.000 2.423 1.881
Te 1.665 0.000 8.268
Te 1.665 2.423 6.387
W 0.000 2.423 8.514
W 1.665 0.000 2.127
Br 0.000 0.000 4.236
Br 1.665 2.423 10.623
```

Values from the calculation:
The total magnetization comes out at 0.0 μB/f.u. The uncorrected formation energy comes out at 0.44 eV/atom. Its calculated total energy is -40.471 eV per atom. As for the energy relative to the lowest polymorph listed for this composition: 0.0000 eV per atom. The calculated density comes out at 8.36 g/cm³. The value obtained for the density of states at the Fermi level is 5.60 states/eV per cell.

---

# 6
Below is a PBEsol-optimized structure of Sr3Ta2Ti6O21, with properties calculated at the SCAN level.

Geometry as extended XYZ:
```
64
Lattice="8.871 0.000 0.000 -4.436 7.683 0.000 0.000 0.000 11.521" Properties=species:S:1:pos:R:3 pbc="T T T"
Sr -1.794 3.108 2.880
Sr -2.641 4.575 8.641
Sr 3.589 0.000 2.880
Sr 1.794 3.108 8.641
Sr 5.283 0.000 8.641
Sr 2.641 4.575 2.880
Ta 0.000 5.122 0.000
Ta 0.000 5.122 5.761
Ta 4.436 2.561 0.000
Ta 4.436 2.561 5.761
Ti -1.060 1.836 6.864
Ti -1.060 1.836 10.418
Ti -3.376 5.847 1.104
Ti -3.376 5.847 4.657
Ti 2.120 0.000 6.864
Ti 2.120 0.000 10.418
Ti 1.060 1.836 1.104
Ti 1.060 1.836 4.657
Ti 6.752 0.000 1.104
Ti 6.752 0.000 4.657
Ti 3.376 5.847 6.864
Ti 3.376 5.847 10.418
O -0.856 1.483 8.641
O -0.933 1.617 0.869
O -0.933 1.617 4.891
O -3.502 6.066 6.630
O -3.502 6.066 10.652
O -3.579 6.200 2.880
O -0.693 3.723 6.976
O -0.693 3.723 10.306
O -1.558 5.221 1.215
O -1.558 5.221 4.545
O 1.713 0.000 8.641
O 0.856 1.483 2.880
O 1.867 0.000 0.869
O 1.867 0.000 4.891
O 0.933 1.617 6.630
O 0.933 1.617 10.652
O 0.693 3.723 1.215
O 0.693 3.723 4.545
O -0.865 6.422 6.976
O -0.865 6.422 10.306
O 3.571 1.261 6.976
O 3.571 1.261 10.306
O 2.878 2.462 1.215
O 2.878 2.462 4.545
O 1.558 5.221 6.976
O 1.558 5.221 10.306
O 0.865 6.422 1.215
O 0.865 6.422 4.545
O 5.301 1.261 1.215
O 5.301 1.261 4.545
O 3.743 3.960 6.976
O 3.743 3.960 10.306
O 7.004 0.000 6.630
O 7.004 0.000 10.652
O 3.502 6.066 0.869
O 3.502 6.066 4.891
O 7.159 0.000 2.880
O 3.579 6.200 8.641
O 5.994 2.462 6.976
O 5.994 2.462 10.306
O 5.129 3.960 1.215
O 5.129 3.960 4.545
```

Values from the calculation:
The total magnetization comes out at 2.1 μB/f.u. The uncorrected formation energy comes out at -3.16 eV/atom. Its calculated total energy is -16.507 eV per atom. The calculated density comes out at 5.28 g/cm³. The value obtained for the density of states at the Fermi level is 22.03 states/eV per cell.

---

# 7
Below is a PBEsol-optimized structure of LiZn2Sb, with properties calculated at the SCAN level.

Geometry as extended XYZ:
```
8
Lattice="3.867 0.000 0.000 0.000 4.606 0.000 0.000 0.000 8.422" Properties=species:S:1:pos:R:3 pbc="T T T"
Li 0.000 0.000 0.000
Li 1.934 2.303 0.000
Zn 0.000 2.303 1.869
Zn 0.000 2.303 6.553
Zn 1.934 0.000 1.869
Zn 1.934 0.000 6.553
Sb 0.000 0.000 4.211
Sb 1.934 2.303 4.211
```

Values from the calculation:
The total magnetization comes out at 0.0 μB/f.u. The uncorrected formation energy comes out at 0.07 eV/atom. Its calculated total energy is -16.601 eV per atom. The calculated density comes out at 5.74 g/cm³. The value obtained for the density of states at the Fermi level is 2.32 states/eV per cell.

---

# 8
Below is a PBEsol-optimized structure of TaCdAu2, with properties calculated at the SCAN level.

Geometry as extended XYZ:
```
4
Lattice="2.942 0.000 0.000 0.000 2.942 0.000 0.000 0.000 8.110" Properties=species:S:1:pos:R:3 pbc="T T T"
Ta 0.000 0.000 0.000
Cd 0.000 0.000 4.055
Au 1.471 1.471 1.930
Au 1.471 1.471 6.180
```

Values from the calculation:
The total magnetization comes out at 0.0 μB/f.u. Its calculated total energy is -59.035 eV per atom. The formation energy is -0.2074 eV per atom. The calculated density comes out at 16.26 g/cm³. The value obtained for the density of states at the Fermi level is 2.10 states/eV per cell.

---

# 9
Below is a PBEsol-optimized structure of CrMo2, with properties calculated at the SCAN level.

Geometry as extended XYZ:
```
12
Lattice="9.600 0.000 0.000 0.000 3.043 0.000 -1.966 0.000 5.747" Properties=species:S:1:pos:R:3 pbc="T T T"
Cr 1.446 0.000 0.465
Cr 1.387 1.521 5.283
Cr 6.246 1.521 0.465
Cr 6.187 0.000 5.283
Mo -1.468 1.521 4.371
Mo 0.470 0.000 3.396
Mo 2.364 1.521 2.352
Mo 4.301 0.000 1.376
Mo 3.332 0.000 4.371
Mo 5.270 1.521 3.396
Mo 7.163 0.000 2.352
Mo 9.101 1.521 1.376
```

Values from the calculation:
The total magnetization comes out at 0.0 μB/f.u. Its calculated total energy is -29.301 eV per atom. As for the energy relative to the lowest polymorph listed for this composition: 0.0147 eV per atom. The formation energy is 0.0839 eV per atom. The calculated density comes out at 9.65 g/cm³. The value obtained for the density of states at the Fermi level is 7.21 states/eV per cell.

---

# 10
Below is a PBEsol-optimized structure of AlTlBiAu2, with properties calculated at the SCAN level.

Geometry as extended XYZ:
```
5
Lattice="5.190 0.000 0.000 0.000 5.190 0.000 0.000 0.000 5.025" Properties=species:S:1:pos:R:3 pbc="T T T"
Al 0.000 0.000 0.000
Tl 0.000 0.000 2.512
Bi 2.595 2.595 0.000
Au 0.000 2.595 2.512
Au 2.595 0.000 2.512
```

Values from the calculation:
The total magnetization comes out at 0.0 μB/f.u. Its calculated total energy is -58.636 eV per atom. The formation energy is 0.7652 eV per atom. The calculated density comes out at 10.24 g/cm³. The value obtained for the density of states at the Fermi level is 3.27 states/eV per cell.

---

# 11
Below is a PBEsol-optimized structure of Ca2Te, with properties calculated at the SCAN level.

Geometry as extended XYZ:
```
12
Lattice="13.716 0.000 0.000 0.000 4.151 0.000 -1.534 0.000 7.007" Properties=species:S:1:pos:R:3 pbc="T T T"
Ca 0.000 0.000 0.000
Ca -0.767 0.000 3.504
Ca 2.558 2.075 1.895
Ca 2.765 0.000 5.112
Ca 6.858 2.075 0.000
Ca 6.091 2.075 3.504
Ca 9.416 0.000 1.895
Ca 9.623 2.075 5.112
Te 0.404 2.075 5.681
Te 4.919 0.000 1.327
Te 7.262 0.000 5.681
Te 11.777 2.075 1.327
```

Values from the calculation:
The total magnetization comes out at 0.0 μB/f.u. The uncorrected formation energy comes out at -1.06 eV/atom. Its calculated total energy is -19.924 eV per atom. The calculated density comes out at 3.46 g/cm³. The value obtained for the density of states at the Fermi level is 3.17 states/eV per cell.

---

# 12
Below is a PBEsol-optimized structure of Zn3Mo2, with properties calculated at the SCAN level.

Geometry as extended XYZ:
```
5
Lattice="4.292 0.000 0.000 -2.146 3.717 0.000 0.000 0.000 5.265" Properties=species:S:1:pos:R:3 pbc="T T T"
Zn 0.000 0.000 0.000
Zn 0.000 2.478 2.057
Zn 2.146 1.239 3.208
Mo 0.000 2.478 4.719
Mo 2.146 1.239 0.546
```

Values from the calculation:
The total magnetization comes out at 0.0 μB/f.u. Its calculated total energy is -21.701 eV per atom. The formation energy is 0.3626 eV per atom. The calculated density comes out at 7.67 g/cm³. The value obtained for the density of states at the Fermi level is 3.30 states/eV per cell.

---

Which value of calculated density does entry 11 give? 3.46 g/cm³

---

Look up the total magnetization of the eighth one. 0.0 μB/f.u.

---

Which of these has the highest total magnetization? Sr3Ta2Ti6O21

---

Number 10 is which compound? AlTlBiAu2